Record 1
A plane-wave DFT calculation with PBE was carried out for a geometry-optimized CsRb2Br6N structure.

a = 8.106 Å, b = 8.106 Å, c = 8.106 Å
α = 60.00°, β = 60.00°, γ = 60.00°
Fractional positions:
Cs (0.000, 0.000, 0.000)
Rb (0.250, 0.250, 0.250)
Rb (0.750, 0.750, 0.750)
Br (0.290, 0.290, 0.710)
Br (0.290, 0.710, 0.290)
Br (0.290, 0.710, 0.710)
Br (0.710, 0.290, 0.290)
Br (0.710, 0.290, 0.710)
Br (0.710, 0.710, 0.290)
N (0.500, 0.500, 0.500)

Properties
Calculated total energy: -26.28 eV for the cell shown
Formation energy without anion corrections: -5.12 eV per formula unit


Record 2
A plane-wave DFT calculation with PBE was carried out for a geometry-optimized Cs2ReBr6N structure.

a = 7.976 Å, b = 7.976 Å, c = 7.976 Å
α = 120.11°, β = 120.11°, γ = 89.80°
Fractional positions:
Cs (0.250, 0.750, 0.500)
Cs (0.750, 0.250, 0.500)
Re (0.000, 0.000, 0.000)
Br (0.225, 0.225, 0.000)
Br (0.226, 0.226, 0.452)
Br (0.226, 0.774, 0.000)
Br (0.774, 0.226, 0.000)
Br (0.774, 0.774, 0.548)
Br (0.775, 0.775, 0.000)
N (0.500, 0.500, 0.000)

Properties
Calculated total energy: -36.66 eV for the cell shown
Formation energy without anion corrections: -4.14 eV per formula unit


Record 3
A plane-wave DFT calculation with PBE was carried out for a geometry-optimized CsS2BrN structure.

a = 5.099 Å, b = 5.099 Å, c = 5.080 Å
α = 90.00°, β = 90.00°, γ = 90.00°
Fractional positions:
Cs (0.000, 0.000, 0.000)
S (0.000, 0.500, 0.500)
S (0.500, 0.000, 0.500)
Br (0.500, 0.500, 0.500)
N (0.500, 0.500, 0.000)

Properties
Calculated total energy: -14.15 eV for the cell shown
Formation energy without anion corrections: 4.96 eV per formula unit


Record 4
A plane-wave DFT calculation with PBE was carried out for a geometry-optimized Cs2SBr6N structure.

a = 7.711 Å, b = 7.711 Å, c = 7.711 Å
α = 114.78°, β = 114.78°, γ = 99.30°
Fractional positions:
Cs (0.250, 0.750, 0.500)
Cs (0.750, 0.250, 0.500)
S (0.000, 0.000, 0.000)
Br (0.214, 0.214, 0.428)
Br (0.214, 0.786, 0.000)
Br (0.288, 0.288, 0.000)
Br (0.712, 0.712, 0.000)
Br (0.786, 0.214, 0.000)
Br (0.786, 0.786, 0.572)
N (0.500, 0.500, 0.000)

Properties
Calculated total energy: -27.19 eV for the cell shown
Formation energy without anion corrections: -3.00 eV per formula unit


Record 5
A plane-wave DFT calculation with PBE was carried out for a geometry-optimized Cs2SbBr6N structure.

a = 8.013 Å, b = 8.013 Å, c = 8.013 Å
α = 122.23°, β = 122.23°, γ = 86.18°
Fractional positions:
Cs (0.250, 0.750, 0.500)
Cs (0.750, 0.250, 0.500)
Sb (0.000, 0.000, 0.000)
Br (0.235, 0.235, 0.000)
Br (0.249, 0.249, 0.499)
Br (0.249, 0.751, 0.000)
Br (0.751, 0.249, 0.000)
Br (0.751, 0.751, 0.501)
Br (0.765, 0.765, 0.000)
N (0.500, 0.500, 0.000)

Properties
Calculated total energy: -29.53 eV for the cell shown
Formation energy without anion corrections: -5.33 eV per formula unit


Record 6
A plane-wave DFT calculation with PBE was carried out for a geometry-optimized CsSeBrN2 structure.

a = 4.463 Å, b = 4.463 Å, c = 7.507 Å
α = 90.00°, β = 90.00°, γ = 90.00°
Fractional positions:
Cs (0.000, 0.000, 0.000)
Se (0.000, 0.000, 0.500)
Br (0.500, 0.500, 0.500)
N (0.000, 0.500, 0.000)
N (0.500, 0.000, 0.000)

Properties
Calculated total energy: -11.36 eV for the cell shown
Formation energy without anion corrections: 11.31 eV per formula unit


Record 7
A plane-wave DFT calculation with PBE was carried out for a geometry-optimized CsSeBrN2 structure.

a = 4.535 Å, b = 4.535 Å, c = 5.254 Å
α = 90.00°, β = 90.00°, γ = 90.00°
Fractional positions:
Cs (0.000, 0.000, 0.000)
Se (0.500, 0.500, 0.000)
Br (0.500, 0.500, 0.500)
N (0.000, 0.500, 0.500)
N (0.500, 0.000, 0.500)

Properties
Calculated total energy: -14.06 eV for the cell shown
Formation energy without anion corrections: 8.60 eV per formula unit


Record 8
A plane-wave DFT calculation with PBE was carried out for a geometry-optimized CsSr2BrN structure.

a = 5.871 Å, b = 5.871 Å, c = 6.512 Å
α = 90.00°, β = 90.00°, γ = 90.00°
Fractional positions:
Cs (0.000, 0.000, 0.000)
Sr (0.000, 0.500, 0.500)
Sr (0.500, 0.000, 0.500)
Br (0.000, 0.000, 0.500)
N (0.500, 0.500, 0.000)

Properties
Calculated total energy: -11.44 eV for the cell shown
Formation energy without anion corrections: 2.78 eV per formula unit


Record 9
A plane-wave DFT calculation with PBE was carried out for a geometry-optimized CsTeBrN2 structure.

a = 5.208 Å, b = 5.208 Å, c = 5.791 Å
α = 90.00°, β = 90.00°, γ = 90.00°
Fractional positions:
Cs (0.000, 0.000, 0.000)
Te (0.500, 0.500, 0.000)
Br (0.500, 0.500, 0.500)
N (0.000, 0.500, 0.500)
N (0.500, 0.000, 0.500)

Properties
Calculated total energy: -13.74 eV for the cell shown
Formation energy without anion corrections: 8.58 eV per formula unit


Record 10
A plane-wave DFT calculation with PBE was carried out for a geometry-optimized CsTeBrN2 structure.

a = 4.521 Å, b = 4.521 Å, c = 8.108 Å
α = 90.00°, β = 90.00°, γ = 90.00°
Fractional positions:
Cs (0.000, 0.000, 0.000)
Te (0.000, 0.000, 0.500)
Br (0.500, 0.500, 0.500)
N (0.000, 0.500, 0.000)
N (0.500, 0.000, 0.000)

Properties
Calculated total energy: -11.68 eV for the cell shown
Formation energy without anion corrections: 10.64 eV per formula unit


Record 11
A plane-wave DFT calculation with PBE was carried out for a geometry-optimized Cs2TiBr6N structure.

a = 7.985 Å, b = 7.985 Å, c = 7.985 Å
α = 60.00°, β = 60.00°, γ = 60.00°
Fractional positions:
Cs (0.250, 0.250, 0.250)
Cs (0.750, 0.750, 0.750)
Ti (0.000, 0.000, 0.000)
Br (0.224, 0.224, 0.776)
Br (0.224, 0.776, 0.224)
Br (0.224, 0.776, 0.776)
Br (0.776, 0.224, 0.224)
Br (0.776, 0.224, 0.776)
Br (0.776, 0.776, 0.224)
N (0.500, 0.500, 0.500)

Properties
Calculated total energy: -36.31 eV for the cell shown
Formation energy without anion corrections: -8.34 eV per formula unit


Record 12
A plane-wave DFT calculation with PBE was carried out for a geometry-optimized Cs2ZnBr6N structure.

a = 7.861 Å, b = 7.861 Å, c = 7.861 Å
α = 122.48°, β = 122.48°, γ = 85.76°
Fractional positions:
Cs (0.250, 0.750, 0.500)
Cs (0.750, 0.250, 0.500)
Zn (0.000, 0.000, 0.000)
Br (0.202, 0.202, 0.000)
Br (0.281, 0.281, 0.562)
Br (0.281, 0.719, 0.000)
Br (0.719, 0.281, 0.000)
Br (0.719, 0.719, 0.438)
Br (0.798, 0.798, 0.000)
N (0.500, 0.500, 0.000)

Properties
Calculated total energy: -26.61 eV for the cell shown
Formation energy without anion corrections: -5.26 eV per formula unit


Record 13
A plane-wave DFT calculation with PBE was carried out for a geometry-optimized Cs2ZrBr6N structure.

a = 8.149 Å, b = 8.149 Å, c = 8.149 Å
α = 120.53°, β = 120.53°, γ = 89.09°
Fractional positions:
Cs (0.250, 0.750, 0.500)
Cs (0.750, 0.250, 0.500)
Zr (0.000, 0.000, 0.000)
Br (0.228, 0.228, 0.000)
Br (0.232, 0.232, 0.465)
Br (0.232, 0.768, 0.000)
Br (0.768, 0.232, 0.000)
Br (0.768, 0.768, 0.535)
Br (0.772, 0.772, 0.000)
N (0.500, 0.500, 0.000)

Properties
Calculated total energy: -38.21 eV for the cell shown
Formation energy without anion corrections: -9.60 eV per formula unit


Record 14
A plane-wave DFT calculation with PBE was carried out for a geometry-optimized CsNaBr3 structure.

a = 6.667 Å, b = 6.667 Å, c = 6.667 Å
α = 90.00°, β = 90.00°, γ = 90.00°
Fractional positions:
Cs (0.000, 0.000, 0.000)
Na (0.500, 0.500, 0.500)
Br (0.000, 0.000, 0.500)
Br (0.000, 0.500, 0.000)
Br (0.500, 0.000, 0.000)

Properties
Calculated total energy: -10.97 eV for the cell shown
Formation energy without anion corrections: -3.77 eV per formula unit


Record 15
A plane-wave DFT calculation with PBE was carried out for a geometry-optimized CsNaBr2 structure.

a = 5.857 Å, b = 5.857 Å, c = 5.857 Å
α = 60.00°, β = 60.00°, γ = 60.00°
Fractional positions:
Cs (0.000, 0.000, 0.000)
Na (0.500, 0.500, 0.500)
Br (0.250, 0.250, 0.250)
Br (0.750, 0.750, 0.750)

Properties
Calculated total energy: -11.48 eV for the cell shown
Formation energy without anion corrections: -5.96 eV per formula unit


Record 16
A plane-wave DFT calculation with PBE was carried out for a geometry-optimized CsNaBr3 structure.

a = 5.747 Å, b = 5.747 Å, c = 5.747 Å
α = 90.00°, β = 90.00°, γ = 90.00°
Fractional positions:
Cs (0.000, 0.000, 0.000)
Na (0.500, 0.500, 0.500)
Br (0.000, 0.500, 0.500)
Br (0.500, 0.000, 0.500)
Br (0.500, 0.500, 0.000)

Properties
Calculated total energy: -13.06 eV for the cell shown
Formation energy without anion corrections: -5.87 eV per formula unit


Record 17
A plane-wave DFT calculation with PBE was carried out for a geometry-optimized CsNa3Br structure.

a = 7.373 Å, b = 7.373 Å, c = 7.373 Å
α = 90.00°, β = 90.00°, γ = 90.00°
Fractional positions:
Cs (0.000, 0.000, 0.000)
Na (0.000, 0.000, 0.500)
Na (0.000, 0.500, 0.000)
Na (0.500, 0.000, 0.000)
Br (0.500, 0.500, 0.500)

Properties
Calculated total energy: -5.19 eV for the cell shown
Formation energy without anion corrections: 1.29 eV per formula unit


Record 18
A plane-wave DFT calculation with PBE was carried out for a geometry-optimized CsNa3Br structure.

a = 6.256 Å, b = 6.256 Å, c = 6.256 Å
α = 90.00°, β = 90.00°, γ = 90.00°
Fractional positions:
Cs (0.000, 0.000, 0.000)
Na (0.000, 0.500, 0.500)
Na (0.500, 0.000, 0.500)
Na (0.500, 0.500, 0.000)
Br (0.500, 0.500, 0.500)

Properties
Calculated total energy: -8.53 eV for the cell shown
Formation energy without anion corrections: -2.04 eV per formula unit


Record 19
A plane-wave DFT calculation with PBE was carried out for a geometry-optimized Cs3NaBr6 structure.

a = 8.837 Å, b = 8.837 Å, c = 8.837 Å
α = 60.00°, β = 60.00°, γ = 60.00°
Fractional positions:
Cs (0.000, 0.000, 0.000)
Cs (0.250, 0.250, 0.250)
Cs (0.750, 0.750, 0.750)
Na (0.500, 0.500, 0.500)
Br (0.272, 0.272, 0.728)
Br (0.272, 0.728, 0.272)
Br (0.272, 0.728, 0.728)
Br (0.728, 0.272, 0.272)
Br (0.728, 0.272, 0.728)
Br (0.728, 0.728, 0.272)

Properties
Calculated total energy: -25.23 eV for the cell shown
Formation energy without anion corrections: -11.32 eV per formula unit


Record 20
A plane-wave DFT calculation with PBE was carried out for a geometry-optimized Cs4NaBr structure.

a = 9.620 Å, b = 13.894 Å, c = 14.219 Å
α = 90.00°, β = 90.00°, γ = 90.00°
Fractional positions:
Cs (0.120, 0.029, 0.250)
Cs (0.120, 0.471, 0.750)
Cs (0.149, 0.750, 0.000)
Cs (0.149, 0.750, 0.500)
Cs (0.330, 0.096, 0.580)
Cs (0.330, 0.096, 0.920)
Cs (0.330, 0.404, 0.080)
Cs (0.330, 0.404, 0.420)
Cs (0.670, 0.596, 0.580)
Cs (0.670, 0.596, 0.920)
Cs (0.670, 0.904, 0.080)
Cs (0.670, 0.904, 0.420)
Cs (0.851, 0.250, 0.000)
Cs (0.851, 0.250, 0.500)
Cs (0.880, 0.529, 0.250)
Cs (0.880, 0.971, 0.750)
Na (0.445, 0.672, 0.250)
Na (0.445, 0.828, 0.750)
Na (0.555, 0.172, 0.250)
Na (0.555, 0.328, 0.750)
Br (0.000, 0.000, 0.000)
Br (0.000, 0.000, 0.500)
Br (0.000, 0.500, 0.000)
Br (0.000, 0.500, 0.500)

Properties
Calculated total energy: -38.59 eV for the cell shown
Formation energy without anion corrections: -3.24 eV per formula unit


Record 21
A plane-wave DFT calculation with PBE was carried out for a geometry-optimized CsNaBr2 structure.

a = 7.600 Å, b = 7.600 Å, c = 7.600 Å
α = 112.72°, β = 112.72°, γ = 103.15°
Fractional positions:
Cs (0.000, 0.000, 0.000)
Cs (0.750, 0.250, 0.500)
Na (0.250, 0.750, 0.500)
Na (0.500, 0.500, 0.000)
Br (0.194, 0.125, 0.569)
Br (0.375, 0.806, 0.931)
Br (0.556, 0.625, 0.431)
Br (0.875, 0.444, 0.069)

Properties
Calculated total energy: -23.95 eV for the cell shown
Formation energy without anion corrections: -6.46 eV per formula unit


Record 22
A plane-wave DFT calculation with PBE was carried out for a geometry-optimized CsNaBr2 structure.

a = 8.560 Å, b = 8.560 Å, c = 8.560 Å
α = 31.20°, β = 31.20°, γ = 31.20°
Fractional positions:
Cs (0.000, 0.000, 0.000)
Na (0.831, 0.831, 0.831)
Br (0.233, 0.233, 0.233)
Br (0.432, 0.432, 0.432)

Properties
Calculated total energy: -11.97 eV for the cell shown
Formation energy without anion corrections: -6.45 eV per formula unit


Record 23
A plane-wave DFT calculation with PBE was carried out for a geometry-optimized CsNa2Br2 structure.

a = 9.409 Å, b = 9.409 Å, c = 4.417 Å
α = 90.00°, β = 90.00°, γ = 90.00°
Fractional positions:
Cs (0.000, 0.000, 0.000)
Cs (0.500, 0.500, 0.000)
Na (0.123, 0.377, 0.500)
Na (0.377, 0.877, 0.500)
Na (0.623, 0.123, 0.500)
Na (0.877, 0.623, 0.500)
Br (0.144, 0.644, 0.000)
Br (0.356, 0.144, 0.000)
Br (0.644, 0.856, 0.000)
Br (0.856, 0.356, 0.000)

Properties
Calculated total energy: -23.93 eV for the cell shown
Formation energy without anion corrections: -5.13 eV per formula unit


Record 24
A plane-wave DFT calculation with PBE was carried out for a geometry-optimized CsNa2Br2 structure.

a = 7.253 Å, b = 7.253 Å, c = 7.253 Å
α = 134.26°, β = 134.26°, γ = 66.68°
Fractional positions:
Cs (0.000, 0.000, 0.000)
Na (0.337, 0.337, 0.000)
Na (0.663, 0.663, 0.000)
Br (0.250, 0.750, 0.500)
Br (0.750, 0.250, 0.500)

Properties
Calculated total energy: -12.74 eV for the cell shown
Formation energy without anion corrections: -5.90 eV per formula unit


Record 25
A plane-wave DFT calculation with PBE was carried out for a geometry-optimized Cs5NaBr structure.

a = 9.747 Å, b = 9.747 Å, c = 13.197 Å
α = 98.59°, β = 98.59°, γ = 101.51°
Fractional positions:
Cs (0.091, 0.662, 0.382)
Cs (0.097, 0.903, 0.750)
Cs (0.227, 0.366, 0.014)
Cs (0.338, 0.909, 0.118)
Cs (0.366, 0.227, 0.514)
Cs (0.634, 0.773, 0.486)
Cs (0.662, 0.091, 0.882)
Cs (0.773, 0.634, 0.986)
Cs (0.903, 0.097, 0.250)
Cs (0.909, 0.338, 0.618)
Na (0.385, 0.615, 0.750)
Na (0.615, 0.385, 0.250)
Br (0.000, 0.000, 0.000)
Br (0.000, 0.000, 0.500)

Properties
Calculated total energy: -20.95 eV for the cell shown
Formation energy without anion corrections: -3.22 eV per formula unit